Compound: Tb4Pr2Sc
Source: Alexandria via LeMat-Bulk
Functional: PBE
Structure: relaxed

abc: 6.9536 6.9536 11.1784
angles: 90.03 90.03 121.97
Element x y z (fractional)
1 Tb 0.2213 0.7788 0.5454
2 Tb 0.2212 0.7787 0.9546
3 Tb 0.2799 0.2799 0.0002
4 Tb 0.2799 0.2799 0.5002
5 Tb 0.7201 0.7201 0.9998
6 Tb 0.7201 0.7201 0.4998
7 Tb 0.7788 0.2213 0.0454
8 Tb 0.7787 0.2212 0.4546
9 Pr 0.0386 0.9614 0.2500
10 Pr 0.3255 0.6745 0.2500
11 Pr 0.6745 0.3255 0.7500
12 Pr 0.9614 0.0386 0.7500
13 Sc 0.3982 0.6018 0.7500
14 Sc 0.6018 0.3982 0.2500

E ... -66.211 eV for the cell shown
Calculated volume ... 32.8 A^3/atom
Energy of formation ... 0.19 eV/atom
SG ... C2/c
Energy above the lowest structure with this stoichiometry ... 0.0 meV/atom
Density ... 6.97 g cm⁻³


Compound: Tb5Pr4Sc
Source: Alexandria via LeMat-Bulk
Functional: PBE
Structure: relaxed

abc: 4.1905 4.1905 18.7750
angles: 90.00 90.00 90.00
Element x y z (fractional)
1 Tb 0.0000 0.0000 0.0000
2 Tb 0.0000 0.0000 0.2036
3 Tb 0.0000 0.0000 0.4091
4 Tb 0.0000 0.0000 0.5909
5 Tb 0.0000 0.0000 0.7964
6 Pr 0.5000 0.5000 0.1030
7 Pr 0.5000 0.5000 0.3027
8 Pr 0.5000 0.5000 0.6973
9 Pr 0.5000 0.5000 0.8970
10 Sc 0.5000 0.5000 0.5000

E ... -47.456 eV for the cell shown
Calculated volume ... 33.0 A^3/atom
Energy of formation ... 0.11 eV/atom
SG ... P4/mmm
Energy above the lowest structure with this stoichiometry ... 0.0 meV/atom
Density ... 7.07 g cm⁻³